[1]
12
Lattice="2.635 0.000 0.554 1.051 6.730 1.544 -0.525 0.692 9.040" Properties=species:S:1:pos:R:3 comment="Fe2Co5Pt5, relaxed, DFT PBE" space_group=C2/m crystal_system=monoclinic e_form_kj_per_mol_atoms=-10 pbc="T T T"
Fe 2.489 2.639 7.794
Fe 0.673 4.782 3.344
Co 2.789 5.948 6.366
Co 1.093 4.844 7.890
Co 2.069 2.577 3.248
Co 0.373 1.473 4.772
Co 0.000 0.000 0.000
Pt 1.581 3.711 5.569
Pt 0.712 2.891 9.701
Pt 0.839 0.265 2.554
Pt 2.323 7.157 8.584
Pt 2.450 4.531 1.437

[2]
4
Lattice="10.640 0.030 0.017 10.023 3.569 0.017 10.023 1.746 3.113" Properties=species:S:1:pos:R:3 comment="ZrTe2Cl, relaxed, DFT PBE" e_above_lowest_polymorph_ev_per_atom=0.140 space_group=R3m e_form_raw_ev_per_atom=-0.705 crystal_system=trigonal pbc="T T T"
Cl 23.933 4.169 2.455
Te 30.418 5.298 3.121
Te 7.025 1.224 0.721
Zr 15.341 2.672 1.574

[3]
6
Lattice="1.262 4.828 -0.009 -1.262 4.828 -0.009 0.000 1.601 5.884" Properties=species:S:1:pos:R:3 comment="FeCu2, relaxed, DFT PBE" space_group=C2/m crystal_system=monoclinic e_form_kj_per_mol_atoms=12 pbc="T T T"
Fe 0.000 7.279 2.142
Fe 0.000 3.977 3.724
Cu 0.000 1.379 4.095
Cu 0.000 7.735 5.713
Cu 0.000 3.521 0.153
Cu 0.000 9.878 1.770

[4]
4
Lattice="-0.374 -3.425 1.202 3.409 0.093 1.326 -1.275 1.259 3.190" Properties=species:S:1:pos:R:3 comment="Cr2CoRe, relaxed, DFT PBE" space_group=P4/mmm crystal_system=tetragonal e_form_kj_per_mol_atoms=9 pbc="T T T"
Co -0.825 -1.083 2.196
Cr 0.000 0.000 0.000
Cr 1.067 0.676 2.258
Re 1.517 -1.666 1.264

[5]
4
Lattice="5.757 -0.168 -0.014 0.697 5.717 0.014 -2.202 -3.967 3.548" Properties=species:S:1:pos:R:3 comment="TlSbSe2, relaxed, DFT PBE" space_group=Immm e_form_raw_ev_per_atom=-0.053 crystal_system=orthorhombic pbc="T T T"
Sb 0.861 2.262 1.781
Se 0.226 0.195 0.000
Se 3.001 2.580 0.000
Tl 3.391 -0.680 1.767

[6]
29
Lattice="-2.706 5.587 -8.321 -1.384 -10.163 -1.608 -5.650 2.611 7.238" Properties=species:S:1:pos:R:3 comment="ZnIn16Sn12, relaxed, DFT PBE" space_group=Cm crystal_system=monoclinic e_form_kj_per_mol_atoms=5 pbc="T T T"
Zn -3.757 -1.834 -3.564
In -3.395 -0.673 -0.910
In -0.128 0.034 0.105
In -3.787 1.695 4.724
In -5.427 0.306 1.788
In -2.509 -0.176 -6.604
In -5.391 1.962 -1.071
In -3.118 -5.630 1.757
In -0.931 -6.788 -1.092
In -4.038 1.765 -4.293
In -6.434 -5.956 -0.145
In -7.190 3.052 -3.985
In -3.483 -4.854 -1.472
In -1.813 3.718 -5.569
In -3.982 4.662 -2.629
In -4.986 -2.869 0.988
In -2.106 -4.970 -4.560
Sn -4.573 -2.949 -6.018
Sn -7.609 -0.808 -0.398
Sn -6.995 2.627 3.544
Sn -6.300 -0.197 -3.316
Sn -4.031 -8.045 -0.147
Sn -2.084 2.303 -1.596
Sn -6.072 -5.237 3.027
Sn -6.921 4.888 -1.288
Sn -1.638 -3.011 0.669
Sn -5.110 4.816 -5.629
Sn -6.054 -3.133 -2.065
Sn -6.755 -0.239 4.765

[7]
4
Lattice="2.763 0.000 0.000 0.000 2.763 0.000 0.000 0.000 6.894" Properties=species:S:1:pos:R:3 comment="Cu2NiAg, relaxed, DFT PBE" space_group=P4/mmm crystal_system=tetragonal e_form_kj_per_mol_atoms=9 pbc="T T T"
Ni 1.381 1.381 1.723
Cu 0.000 0.000 0.207
Cu 0.000 0.000 3.240
Ag 1.381 1.381 5.170

[8]
5
Lattice="-3.960 3.590 -1.085 -5.420 -0.776 3.507 -0.880 4.550 4.562" Properties=species:S:1:pos:R:3 comment="SrLi2Ca2, relaxed, DFT PBE" e_above_lowest_polymorph_ev_per_atom=0.034 space_group=Immm crystal_system=orthorhombic e_form_kj_per_mol_atoms=6 pbc="T T T"
Sr 0.000 0.000 0.000
Li -6.011 2.649 3.288
Li -4.250 4.715 3.697
Ca -7.588 5.515 4.817
Ca -2.673 1.850 2.167

For the records above, the corresponding calculated density values read 14.4 5.4 8.5 11.9 6.8 6.9 9.3 1.7 g cm⁻³.